A plane-wave DFT calculation with PBE was carried out for CsCoTc3 after structural relaxation.

The structure in extended XYZ format:
```
5
Lattice="4.888 0.000 0.000 0.000 4.888 0.000 0.000 0.000 4.888" Properties=species:S:1:pos:R:3 pbc="T T T"
Cs 0.000 0.000 0.000
Tc 0.000 2.444 0.000
Tc 2.444 0.000 0.000
Co 2.444 2.444 2.444
Tc 0.000 0.000 2.444
```

Calculated values
total magnetization: 6.63 μB per formula unit
calculated density: 6.91 g cm⁻³
symmetry: Pm-3m
calculated formation energy: 17.3 eV per formula unit